Record 1
ZnInCu3 | Alexandria | GGA-PBE | optimized geometry; total moment = 0.0 μB/f.u.; crystal system = cubic; relative energy among the computed polymorphs = 754 meV per atom
1.0
-4.068 2.361 -1.190
0.743 -1.075 -4.673
-2.538 -4.100 0.540
Zn Cu In
1 3 1
Direct
0.500 0.500 0.500
0.000 0.500 0.000
0.000 0.000 0.500
0.500 0.000 0.000
0.000 0.000 0.000


Record 2
ZnInCu | Alexandria | GGA-PBE | optimized geometry; E_tot = -47.8 eV per cell; total moment = 0.0 μB/f.u.; crystal system = monoclinic
1.0
-2.718 -1.465 -2.489
5.021 -2.251 -4.158
0.241 -10.024 5.638
In Cu Zn
6 6 6
Direct
0.750 0.550 0.383
0.250 0.959 0.719
0.750 0.041 0.281
0.750 0.648 0.090
0.250 0.450 0.617
0.250 0.352 0.910
0.250 0.752 0.929
0.750 0.253 0.750
0.750 0.751 0.593
0.750 0.248 0.071
0.250 0.249 0.407
0.250 0.747 0.250
0.250 0.010 0.085
0.250 0.875 0.462
0.750 0.627 0.803
0.750 0.125 0.538
0.250 0.373 0.197
0.750 0.990 0.915


Record 3
ZnIn3Cu | Alexandria | GGA-PBE | optimized geometry; total moment = 0.0 μB/f.u.; crystal system = cubic; relative energy among the computed polymorphs = 0 meV per atom
1.0
5.086 0.000 0.000
0.000 5.086 0.000
0.000 0.000 5.086
Zn Cu In
1 1 3
Direct
0.500 0.500 0.500
0.000 0.000 0.000
0.000 0.500 0.000
0.000 0.000 0.500
0.500 0.000 0.000


Record 4
Zn2InCu | Alexandria | GGA-PBE | optimized geometry; E_tot = -9.0 eV per cell; total moment = 0.0 μB/f.u.; crystal system = tetragonal
1.0
-2.098 1.876 1.019
-2.011 -2.216 -0.060
1.806 -1.830 7.085
Cu In Zn
1 1 2
Direct
0.000 0.000 0.467
0.500 0.500 0.729
0.000 0.000 0.036
0.500 0.500 0.268


Record 5
Zn2InCu | Alexandria | GGA-PBE | optimized geometry; E_tot = -9.0 eV per cell; total moment = 0.0 μB/f.u.; crystal system = orthorhombic
1.0
4.565 0.014 0.000
-1.441 4.331 0.000
0.000 0.000 3.459
Cu In Zn
1 1 2
Direct
0.500 0.000 0.500
0.000 0.500 0.500
0.000 0.000 0.000
0.500 0.500 0.000


Record 6
ZnIn2Cu2 | Alexandria | GGA-PBE | optimized geometry; total moment = 0.0 μB/f.u.; crystal system = tetragonal; relative energy among the computed polymorphs = 107 meV per atom
1.0
-1.417 3.890 6.755
5.766 -4.097 3.568
1.960 2.075 -0.784
Zn Cu In
2 4 4
Direct
0.000 0.000 0.000
0.500 0.500 0.000
0.113 0.613 0.500
0.613 0.887 0.500
0.887 0.387 0.500
0.387 0.113 0.500
0.318 0.818 0.000
0.818 0.682 0.000
0.682 0.182 0.000
0.182 0.318 0.000


Record 7
ZnInCu6 | Alexandria | GGA-PBE | optimized geometry; total moment = 0.0 μB/f.u.; crystal system = orthorhombic; relative energy among the computed polymorphs = 0 meV per atom
1.0
4.327 0.000 0.000
0.000 4.696 0.000
0.000 0.000 5.284
Zn In Cu
1 1 6
Direct
0.500 0.347 0.500
0.000 0.659 0.000
0.500 0.849 0.261
0.000 0.160 0.740
0.000 0.160 0.260
0.500 0.849 0.739
0.000 0.666 0.500
0.500 0.310 0.000


Record 8
ZnInCu | Alexandria | GGA-PBE | optimized geometry; E_tot = -8.0 eV per cell; total moment = 0.0 μB/f.u.; crystal system = cubic
1.0
-2.926 -2.492 -1.943
1.194 -2.639 -3.187
0.039 -4.260 0.632
Cu In Zn
1 1 1
Direct
0.750 0.750 0.750
0.000 0.000 0.000
0.500 0.500 0.500


Record 9
ZnIn3Cu | Alexandria | GGA-PBE | optimized geometry; total moment = 0.0 μB/f.u.; crystal system = cubic; relative energy among the computed polymorphs = 301 meV per atom
1.0
-0.234 -2.460 -4.564
-1.770 -4.256 2.385
-4.873 1.664 -0.647
Zn Cu In
1 1 3
Direct
0.000 0.000 0.000
0.500 0.500 0.500
0.000 0.500 0.000
0.000 0.000 0.500
0.500 0.000 0.000


Record 10
ZnInCu | Alexandria | GGA-PBE | optimized geometry; E_tot = -7.8 eV per cell; total moment = 0.0 μB/f.u.; crystal system = orthorhombic
1.0
-4.809 -0.932 -2.918
-5.375 -1.835 0.061
-1.787 2.586 0.360
Cu In Zn
1 1 1
Direct
0.981 0.981 0.019
0.658 0.658 0.342
0.361 0.361 0.639


Record 11
ZnInCu2 | Alexandria | GGA-PBE | optimized geometry; E_tot = -12.0 eV per cell; total moment = 0.0 μB/f.u.; crystal system = monoclinic
1.0
-3.921 0.769 3.236
-1.819 -1.529 4.560
0.701 2.551 3.314
Cu In Zn
2 1 1
Direct
0.005 0.005 0.986
0.735 0.735 0.768
0.495 0.495 0.499
0.264 0.264 0.248


Record 12
ZnIn2Cu2 | Alexandria | GGA-PBE | optimized geometry; total moment = 0.0 μB/f.u.; crystal system = tetragonal; relative energy among the computed polymorphs = 69 meV per atom
1.0
-0.695 -3.037 1.330
3.177 -0.222 1.153
-1.078 2.006 8.331
Zn Cu In
1 2 2
Direct
0.000 0.000 0.000
0.750 0.250 0.500
0.250 0.750 0.500
0.387 0.387 0.227
0.613 0.613 0.773


Record 13
ZnInCu3 | Alexandria | GGA-PBE | optimized geometry; total moment = 0.0 μB/f.u.; crystal system = cubic; relative energy among the computed polymorphs = 356 meV per atom
1.0
4.512 0.000 0.000
0.000 4.512 0.000
0.000 0.000 4.512
Zn Cu In
1 3 1
Direct
0.000 0.000 0.000
0.000 0.500 0.000
0.000 0.000 0.500
0.500 0.000 0.000
0.500 0.500 0.500


Record 14
Zn2InCu | Alexandria | GGA-PBE | optimized geometry; E_tot = -9.1 eV per cell; total moment = 0.0 μB/f.u.; crystal system = tetragonal
1.0
3.004 0.001 0.000
-0.001 3.004 0.000
0.000 0.000 7.623
Cu In Zn
1 1 2
Direct
0.500 0.500 0.250
0.500 0.500 0.750
0.000 0.000 0.054
0.000 0.000 0.446


Record 15
Zn3InCu3 | Alexandria | GGA-PBE | optimized geometry; E_tot = -30.6 eV per cell; total moment = 0.0 μB/f.u.; crystal system = cubic
1.0
6.701 0.000 0.000
0.000 6.701 0.000
0.000 0.000 6.701
Zn Cu In
6 6 2
Direct
0.000 0.250 0.500
0.000 0.750 0.500
0.500 0.000 0.750
0.750 0.500 0.000
0.500 0.000 0.250
0.250 0.500 0.000
0.250 0.000 0.500
0.000 0.500 0.250
0.500 0.750 0.000
0.750 0.000 0.500
0.000 0.500 0.750
0.500 0.250 0.000
0.500 0.500 0.500
0.000 0.000 0.000


Record 16
ZnInCu | Alexandria | GGA-PBE | optimized geometry; E_tot = -7.8 eV per cell; total moment = 0.0 μB/f.u.; crystal system = orthorhombic
1.0
4.793 -0.031 -0.011
2.166 4.276 0.011
-3.432 -2.201 2.521
Cu In Zn
1 1 1
Direct
0.001 0.001 0.000
0.335 0.335 0.000
0.664 0.664 0.000


Record 17
Zn2InCu8 | Alexandria | GGA-PBE | optimized geometry; total moment = 0.0 μB/f.u.; crystal system = monoclinic; relative energy among the computed polymorphs = 0 meV per atom
1.0
0.207 -0.027 -3.759
4.121 -4.296 0.258
-6.050 -3.153 1.575
Zn Cu In
2 8 1
Direct
0.224 0.644 0.449
0.776 0.356 0.551
0.593 0.466 0.185
0.315 0.087 0.630
0.143 0.195 0.287
0.046 0.715 0.092
0.857 0.805 0.713
0.685 0.913 0.370
0.407 0.534 0.815
0.954 0.285 0.908
0.500 0.000 0.000


Record 18
Zn2InCu | Alexandria | GGA-PBE | optimized geometry; E_tot = -9.0 eV per cell; total moment = 0.0 μB/f.u.; crystal system = monoclinic
1.0
-1.629 -4.290 -1.416
0.493 -1.105 2.779
-4.427 1.370 0.942
Cu In Zn
1 1 2
Direct
0.500 0.250 0.250
0.500 0.750 0.750
0.000 0.002 0.019
0.000 0.498 0.481


Record 19
Zn2InCu | Alexandria | GGA-PBE | optimized geometry; E_tot = -9.0 eV per cell; total moment = 0.0 μB/f.u.; crystal system = tetragonal
1.0
4.989 -0.027 0.000
1.771 4.664 0.000
-3.380 -2.319 2.844
Cu In Zn
1 1 2
Direct
0.250 0.750 0.500
0.750 0.250 0.500
0.000 0.000 0.000
0.500 0.500 0.000


Record 20
ZnInCu4 | Alexandria | GGA-PBE | optimized geometry; E_tot = -20.1 eV per cell; total moment = 0.0 μB/f.u.; crystal system = orthorhombic
1.0
-0.791 4.044 1.155
0.070 0.859 4.970
3.980 2.534 1.782
Zn In Cu
1 1 4
Direct
0.500 0.500 0.500
0.500 0.000 0.000
0.166 0.577 0.091
0.834 0.909 0.423
0.834 0.423 0.909
0.166 0.091 0.577